CaZrSe | PBE-GGA | relaxed

Computed properties:
- relative energy among the computed polymorphs (meV/atom) = 572

Cell lengths 4.728, 4.728, 4.728 Å; angles 60.00, 60.00, 60.00 degrees
Positions (direct):
Ca (0.000, 0.000, 0.000)
Zr (0.500, 0.500, 0.500)
Se (0.250, 0.250, 0.250)

CaZrSe | PBE-GGA | relaxed

Computed properties:
- relative energy among the computed polymorphs (meV/atom) = 74

Cell lengths 3.619, 4.344, 9.726 Å; angles 90.00, 90.00, 90.00 degrees
Positions (direct):
Ca (0.000, 0.000, 0.000)
Ca (0.000, 0.500, 0.341)
Zr (0.000, 0.500, 0.694)
Zr (0.500, 0.000, 0.566)
Se (0.500, 0.000, 0.263)
Se (0.500, 0.500, 0.925)

Calculated values (eV/atom) of raw formation energy for the records, taken in order: -0.4295, -0.9276.